No. 1
The following is a DFT calculation (PBE) of an optimized crystal structure of Y2SiAu.

a = 3.5453 Å, b = 3.5453 Å, c = 7.7810 Å
α = 90.00°, β = 90.00°, γ = 90.00°
With the nearest neighbours (Å) after each atom.
Atoms (fractional coordinates):
Y: 0.0000 0.0000 0.0000  4 Si 3.06, 1 Au 3.22
Y: 0.5000 0.5000 0.3778  4 Au 2.98, 1 Si 3.09
Si: 0.5000 0.5000 0.7746  4 Au 2.91, 5 Y 3.06-3.09
Au: 0.0000 0.0000 0.5857  4 Si 2.91, 5 Y 2.98-3.22

Values from the calculation:
The calculation puts the density of states at the Fermi level at 3.337 states/eV/cell. The value obtained for the theoretical density is 6.84 g/cm³. The space group is P4mm. The value obtained for the formation energy from raw total energies is -0.30 eV/atom.


No. 2
The following is a DFT calculation (PBE) of an optimized crystal structure of PmLuHg2.

a = 3.6777 Å, b = 3.6777 Å, c = 7.6699 Å
α = 90.00°, β = 90.00°, γ = 90.00°
With the nearest neighbours (Å) after each atom.
Atoms (fractional coordinates):
Pm: 0.0000 0.0000 0.0000  8 Hg 3.33, 4 Pm 3.68
Lu: 0.0000 0.0000 0.5000  8 Hg 3.14
Hg: 0.5000 0.5000 0.2712  4 Lu 3.14, 4 Pm 3.33, 1 Hg 3.51
Hg: 0.5000 0.5000 0.7288  4 Lu 3.14, 4 Pm 3.33, 1 Hg 3.51

Values from the calculation:
The energy above the most stable polymorph in this dataset comes out at 0 meV/atom. The calculation puts the density of states at the Fermi level at 2.955 states/eV/cell. The value obtained for the theoretical density is 11.54 g/cm³. The space group is P4/mmm. The energy of formation from the pure elements is -0.48 eV per atom.


No. 3
The following is a DFT calculation (PBE) of an optimized crystal structure of SrW2S.

a = 9.2001 Å, b = 9.2001 Å, c = 9.2001 Å
α = 149.28°, β = 149.28°, γ = 44.00°
With the nearest neighbours (Å) after each atom.
Atoms (fractional coordinates):
Sr: 0.0000 0.0000 0.0000  8 W 3.38-3.54, 4 S 3.45
Sr: 0.7500 0.2500 0.5000  8 W 3.38-3.54, 4 S 3.45
W: 0.3516 0.1250 0.7266  2 W 2.45, 2 S 2.46
W: 0.3750 0.6484 0.7734  2 W 2.45, 2 S 2.46
W: 0.3984 0.6250 0.2734  2 W 2.45, 2 S 2.46
W: 0.8750 0.6016 0.2266  2 W 2.45, 2 S 2.46
S: 0.2500 0.7500 0.5000  4 W 2.46
S: 0.5000 0.5000 0.0000  4 W 2.46

Values from the calculation:
The calculation puts the density of states at the Fermi level at 11.139 states/eV/cell. The value obtained for the theoretical density is 7.99 g/cm³. The space group is I-42d. The value obtained for the formation energy from raw total energies is 0.80 eV/atom.


No. 4
The following is a DFT calculation (PBE) of an optimized crystal structure of KSr2Mg.

a = 4.2446 Å, b = 4.2446 Å, c = 13.2107 Å
α = 99.06°, β = 99.06°, γ = 60.11°
With the nearest neighbours (Å) after each atom.
Atoms (fractional coordinates):
K: 0.0000 0.0000 0.0000  6 K 4.24-4.25, 6 Sr 4.55-4.57
Sr: 0.5675 0.5675 0.7037  3 Mg 3.61-3.62
Sr: 0.7652 0.7652 0.2956  3 Mg 3.61
Mg: 0.1651 0.1651 0.4995  6 Sr 3.61-3.62

Values from the calculation:
The calculation puts the density of states at the Fermi level at 4.601 states/eV/cell. The value obtained for the theoretical density is 1.95 g/cm³. The space group is Cm. The energy of formation from the pure elements is 0.11 eV per atom.


No. 5
The following is a DFT calculation (PBE) of an optimized crystal structure of Al2ZnPt.

a = 6.0643 Å, b = 6.0643 Å, c = 6.0643 Å
α = 99.80°, β = 99.80°, γ = 131.27°
With the nearest neighbours (Å) after each atom.
Atoms (fractional coordinates):
Al: 0.0528 0.1250 0.4278  2 Pt 2.48, 2 Al 2.74
Al: 0.3750 0.9472 0.0722  2 Pt 2.48, 2 Al 2.74
Al: 0.6972 0.6250 0.5722  2 Pt 2.48, 2 Al 2.74
Al: 0.8750 0.3028 0.9278  2 Pt 2.48, 2 Al 2.74
Zn: 0.2500 0.7500 0.5000  2 Pt 2.50
Zn: 0.5000 0.5000 0.0000  2 Pt 2.50
Pt: 0.0000 0.0000 0.0000  4 Al 2.48, 2 Zn 2.50
Pt: 0.7500 0.2500 0.5000  4 Al 2.48, 2 Zn 2.50

Values from the calculation:
The calculation puts the density of states at the Fermi level at 3.000 states/eV/cell. The value obtained for the theoretical density is 6.84 g/cm³. The space group is I-42d. The energy of formation from the pure elements is -0.23 eV per atom.


No. 6
The following is a DFT calculation (PBE) of an optimized crystal structure of ScFe2Ir.

a = 3.0953 Å, b = 3.0953 Å, c = 6.1473 Å
α = 90.00°, β = 90.00°, γ = 90.00°
With the nearest neighbours (Å) after each atom.
Atoms (fractional coordinates):
Sc: 0.0000 0.0000 0.0000  8 Fe 2.75, 2 Ir 3.07
Fe: 0.5000 0.5000 0.2716  4 Ir 2.60, 4 Sc 2.75, 1 Fe 2.81
Fe: 0.5000 0.5000 0.7284  4 Ir 2.60, 4 Sc 2.75, 1 Fe 2.81
Ir: 0.0000 0.0000 0.5000  8 Fe 2.60

Values from the calculation:
The calculation puts the density of states at the Fermi level at 3.117 states/eV/cell. The value obtained for the theoretical density is 9.84 g/cm³. The space group is P4/mmm. The energy of formation from the pure elements is -0.04 eV per atom.


No. 7
The following is a DFT calculation (PBE) of an optimized crystal structure of SrVCl2.

a = 8.8408 Å, b = 8.8408 Å, c = 8.8408 Å
α = 145.21°, β = 145.21°, γ = 50.02°
With the nearest neighbours (Å) after each atom.
Atoms (fractional coordinates):
Sr: 0.0000 0.0000 0.0000  4 Cl 2.89
Sr: 0.7500 0.2500 0.5000  4 Cl 2.89
V: 0.2500 0.7500 0.5000  4 Cl 2.61
V: 0.5000 0.5000 0.0000  4 Cl 2.61
Cl: 0.1794 0.6250 0.0544  2 V 2.61, 2 Sr 2.89
Cl: 0.3750 0.4294 0.5544  2 V 2.61, 2 Sr 2.89
Cl: 0.5706 0.1250 0.9456  2 V 2.61, 2 Sr 2.89
Cl: 0.8750 0.8206 0.4456  2 V 2.61, 2 Sr 2.89

Values from the calculation:
The energy above the most stable polymorph in this dataset comes out at 47 meV/atom. The calculation puts the density of states at the Fermi level at 5.845 states/eV/cell. The value obtained for the theoretical density is 3.11 g/cm³. The space group is I-42d. The value obtained for the formation energy from raw total energies is -0.78 eV/atom.


No. 8
The following is a DFT calculation (PBE) of an optimized crystal structure of Np3O7F.

a = 6.8370 Å, b = 6.8370 Å, c = 4.1283 Å
α = 90.00°, β = 90.00°, γ = 118.72°
With the nearest neighbours (Å) after each atom.
Atoms (fractional coordinates):
Np: 0.0000 0.0000 0.0000  6 O 2.06-2.15
Np: 0.3043 0.6957 0.0000  6 O 2.06-2.30, 1 F 2.30
Np: 0.6957 0.3043 0.0000  6 O 2.06-2.30, 1 F 2.30
O: 0.0000 0.0000 0.5000  2 Np 2.06
O: 0.0441 0.3328 0.0000  3 Np 2.15-2.30
O: 0.3059 0.6941 0.5000  2 Np 2.06
O: 0.3328 0.0441 0.0000  3 Np 2.15-2.30
O: 0.6672 0.9559 0.0000  3 Np 2.15-2.30
O: 0.6941 0.3059 0.5000  2 Np 2.06
O: 0.9559 0.6672 0.0000  3 Np 2.15-2.30
F: 0.5000 0.5000 0.0000  2 Np 2.30

Values from the calculation:
The calculation puts the density of states at the Fermi level at 15.081 states/eV/cell. The value obtained for the theoretical density is 8.26 g/cm³. The space group is Cmmm. The value obtained for the formation energy from raw total energies is -2.99 eV/atom.


No. 9
The following is a DFT calculation (PBE) of an optimized crystal structure of Ba6Tl2PtF.

a = 8.3947 Å, b = 11.8402 Å, c = 8.3939 Å
α = 90.00°, β = 90.00°, γ = 90.00°
With the nearest neighbours (Å) after each atom.
Atoms (fractional coordinates):
Ba: 0.0056 0.2500 0.0071  1 F 2.89, 1 Pt 3.04
Ba: 0.0066 0.2500 0.4951  1 F 2.90, 1 Pt 3.04
Ba: 0.2500 0.0060 0.2510  1 F 2.89, 1 Pt 3.03
Ba: 0.2500 0.4940 0.2510  1 F 2.89, 1 Pt 3.03
Ba: 0.4934 0.2500 0.4951  1 F 2.90, 1 Pt 3.04
Ba: 0.4944 0.2500 0.0071  1 F 2.89, 1 Pt 3.04
Ba: 0.5056 0.7500 0.9929  1 F 2.89, 1 Pt 3.04
Ba: 0.5066 0.7500 0.5049  1 F 2.90, 1 Pt 3.04
Ba: 0.7500 0.5060 0.7490  1 F 2.89, 1 Pt 3.03
Ba: 0.7500 0.9940 0.7490  1 F 2.89, 1 Pt 3.03
Ba: 0.9934 0.7500 0.5049  1 F 2.90, 1 Pt 3.04
Ba: 0.9944 0.7500 0.9929  1 F 2.89, 1 Pt 3.04
Tl: 0.2500 0.0005 0.7484  12 Ba 4.17-4.22
Tl: 0.2500 0.4995 0.7484  12 Ba 4.17-4.22
Tl: 0.7500 0.9995 0.2516  12 Ba 4.17-4.22
Tl: 0.7500 0.5005 0.2516  12 Ba 4.17-4.22
Pt: 0.2500 0.7500 0.2494  6 Ba 3.03-3.04
Pt: 0.7500 0.2500 0.7506  6 Ba 3.03-3.04
F: 0.2500 0.2500 0.2502  6 Ba 2.89-2.90
F: 0.7500 0.7500 0.7498  6 Ba 2.89-2.90

Values from the calculation:
The calculation puts the density of states at the Fermi level at 19.780 states/eV/cell. The value obtained for the theoretical density is 5.76 g/cm³. The space group is Pmmn. The value obtained for the formation energy from raw total energies is -0.81 eV/atom.


No. 10
The following is a DFT calculation (PBE) of an optimized crystal structure of SrLi2BRh2.

a = 4.2344 Å, b = 4.2344 Å, c = 5.6865 Å
α = 90.00°, β = 90.00°, γ = 90.00°
With the nearest neighbours (Å) after each atom.
Atoms (fractional coordinates):
Sr: 0.0000 0.0000 0.0000  2 B 2.84
Li: 0.5000 0.5000 0.2677  4 Rh 2.50, 1 Li 2.64
Li: 0.5000 0.5000 0.7323  4 Rh 2.50, 1 Li 2.64
B: 0.0000 0.0000 0.5000  4 Rh 2.12
Rh: 0.0000 0.5000 0.5000  2 B 2.12
Rh: 0.5000 0.0000 0.5000  2 B 2.12

Values from the calculation:
The calculation puts the density of states at the Fermi level at 1.566 states/eV/cell. The value obtained for the theoretical density is 5.18 g/cm³. The space group is P4/mmm. The energy of formation from the pure elements is -0.32 eV per atom.


No. 11
The following is a DFT calculation (PBE) of an optimized crystal structure of MnInBr2Cl.

a = 8.9852 Å, b = 3.9882 Å, c = 8.9962 Å
α = 90.00°, β = 105.22°, γ = 90.00°
With the nearest neighbours (Å) after each atom.
Atoms (fractional coordinates):
Mn: 0.1732 0.2500 0.1389  1 Cl 2.46, 5 Br 2.71-2.74
Mn: 0.8268 0.7500 0.8611  1 Cl 2.46, 5 Br 2.71-2.74
In: 0.3740 0.7500 0.6792  3 Cl 3.06-3.12, 2 Br 3.41
In: 0.6260 0.2500 0.3208  3 Cl 3.06-3.12, 2 Br 3.41
Br: 0.0260 0.2500 0.8302  3 Mn 2.74
Br: 0.3565 0.7500 0.0857  2 Mn 2.71
Br: 0.6435 0.2500 0.9143  2 Mn 2.71
Br: 0.9740 0.7500 0.1698  3 Mn 2.74
Cl: 0.3141 0.2500 0.4127  1 Mn 2.46
Cl: 0.6859 0.7500 0.5873  1 Mn 2.46

Values from the calculation:
The energy above the most stable polymorph in this dataset comes out at 0 meV/atom. The calculation puts the density of states at the Fermi level at 0.000 states/eV/cell. The value obtained for the theoretical density is 3.90 g/cm³. The space group is P2_1/m. The value obtained for the formation energy from raw total energies is -0.80 eV/atom.


No. 12
The following is a DFT calculation (PBE) of an optimized crystal structure of YMg3Pt4.

a = 9.5516 Å, b = 6.0419 Å, c = 4.8532 Å
α = 90.00°, β = 90.00°, γ = 90.00°
With the nearest neighbours (Å) after each atom.
Atoms (fractional coordinates):
Y: 0.0000 0.0000 0.0000  8 Pt 2.90, 2 Mg 3.02
Y: 0.5000 0.0000 0.0000  8 Pt 2.90, 2 Mg 3.02
Mg: 0.0000 0.5000 0.0000  8 Pt 2.80-2.82, 2 Y 3.02
Mg: 0.2500 0.0000 0.4572  8 Pt 2.78-3.04, 2 Mg 3.02
Mg: 0.2500 0.5000 0.4262  8 Pt 2.80-2.82, 2 Mg 3.02
Mg: 0.5000 0.5000 0.0000  8 Pt 2.80-2.82, 2 Y 3.02
Mg: 0.7500 0.0000 0.5428  8 Pt 2.78-3.04, 2 Mg 3.02
Mg: 0.7500 0.5000 0.5738  8 Pt 2.80-2.82, 2 Mg 3.02
Pt: 0.0000 0.2629 0.5000  6 Mg 2.81-2.88, 1 Pt 2.87, 2 Y 2.90
Pt: 0.0000 0.7371 0.5000  6 Mg 2.81-2.88, 1 Pt 2.87, 2 Y 2.90
Pt: 0.2500 0.2656 0.9245  6 Mg 2.78-3.04, 1 Pt 2.83, 2 Y 2.90
Pt: 0.2500 0.7344 0.9245  6 Mg 2.78-3.04, 1 Pt 2.83, 2 Y 2.90
Pt: 0.5000 0.2629 0.5000  6 Mg 2.81-2.88, 1 Pt 2.87, 2 Y 2.90
Pt: 0.5000 0.7371 0.5000  6 Mg 2.81-2.88, 1 Pt 2.87, 2 Y 2.90
Pt: 0.7500 0.2656 0.0755  6 Mg 2.78-3.04, 1 Pt 2.83, 2 Y 2.90
Pt: 0.7500 0.7344 0.0755  6 Mg 2.78-3.04, 1 Pt 2.83, 2 Y 2.90

Values from the calculation:
The calculation puts the density of states at the Fermi level at 3.372 states/eV/cell. The value obtained for the theoretical density is 11.17 g/cm³. The space group is Pmma. The energy of formation from the pure elements is -0.93 eV per atom.


Energy values (in eV for the cell shown) by entry order: -22.8; -11.8; -57.1; -5.6; -31.5; -32.3; -35.2; -108.3; -64.6; -28.8; -42.2; -85.7.